1.
# LiZr2ScO PBE relaxed
data_LiZr2ScO
_space_group_name_H-M_alt 'P 4/m m m'
_space_group_IT_number 123
_space_group_name_Hall '-P 4 2'
_cell_length_a 4.505
_cell_length_b 4.505
_cell_length_c 4.376
_cell_angle_alpha 90.00
_cell_angle_beta 90.00
_cell_angle_gamma 90.00
loop_
_atom_site_label
_atom_site_fract_x
_atom_site_fract_y
_atom_site_fract_z
Li1 0.000 0.000 0.000
Zr1 0.000 0.500 0.500
Sc1 0.500 0.500 0.000
O1 0.500 0.500 0.500
# Energy relative to the elements, uncorrected = -4.80 eV/f.u.
# M_tot = 0.000 μB/atom
# Total DFT energy (no corrections) = -35.10 eV/cell

***

2.
# Li2ZrScO4 PBE relaxed
data_Li2ZrScO4
_space_group_name_H-M_alt 'I -4 m 2'
_space_group_IT_number 119
_space_group_name_Hall 'I -4 -2'
_cell_length_a 4.311
_cell_length_b 4.311
_cell_length_c 9.018
_cell_angle_alpha 90.00
_cell_angle_beta 90.00
_cell_angle_gamma 90.00
loop_
_atom_site_label
_atom_site_fract_x
_atom_site_fract_y
_atom_site_fract_z
Li1 0.000 0.000 0.000
Li2 0.000 0.500 0.250
Zr1 0.000 0.500 0.750
Sc1 0.000 0.000 0.500
O1 0.000 0.000 0.254
O2 0.000 0.500 0.504
# Energy relative to the elements, uncorrected = -22.06 eV/f.u.
# M_tot = 0.000 μB/atom
# Total DFT energy (no corrections) = -121.20 eV/cell

***

3.
# Li3SeO PBE relaxed
data_Li3SeO
_space_group_name_H-M_alt 'P m -3 m'
_space_group_IT_number 221
_space_group_name_Hall '-P 4 2 3'
_cell_length_a 3.954
_cell_length_b 3.954
_cell_length_c 3.954
_cell_angle_alpha 90.00
_cell_angle_beta 90.00
_cell_angle_gamma 90.00
loop_
_atom_site_label
_atom_site_fract_x
_atom_site_fract_y
_atom_site_fract_z
Li1 0.000 0.000 0.500
Se1 0.500 0.500 0.500
O1 0.000 0.000 0.000
# Energy relative to the elements, uncorrected = -6.68 eV/f.u.
# Energy above the most stable polymorph in this dataset = 0.000 eV per atom
# M_tot = 0.200 μB/atom
# Total DFT energy (no corrections) = -20.87 eV/cell

***

4.
# LiSeO4 PBE relaxed
data_LiSeO4
_space_group_name_H-M_alt 'P 1 21/c 1'
_space_group_IT_number 14
_cell_length_a 4.938
_cell_length_b 4.839
_cell_length_c 4.947
_cell_angle_alpha 90.00
_cell_angle_beta 96.66
_cell_angle_gamma 90.00
loop_
_space_group_symop_operation_xyz
'x,y,z'
'-x,-y,-z'
'-x,y+1/2,-z+1/2'
'x,-y+1/2,z+1/2'
loop_
_atom_site_label
_atom_site_fract_x
_atom_site_fract_y
_atom_site_fract_z
Li1 0.000 0.000 0.000
Se1 0.500 0.000 0.500
O1 0.166 0.126 0.407
O2 0.375 0.676 0.290
# Energy relative to the elements, uncorrected = -3.61 eV/f.u.
# M_tot = 0.169 μB/atom
# Total DFT energy (no corrections) = -57.67 eV/cell

***

5.
# Li2Se2O7 PBE relaxed
data_Li2Se2O7
_space_group_name_H-M_alt 'C 1 2/c 1'
_space_group_IT_number 15
_cell_length_a 7.445
_cell_length_b 8.606
_cell_length_c 9.953
_cell_angle_alpha 90.00
_cell_angle_beta 109.71
_cell_angle_gamma 90.00
loop_
_space_group_symop_operation_xyz
'x,y,z'
'-x,-y,-z'
'-x,y,-z+1/2'
'x,-y,z+1/2'
'x+1/2,y+1/2,z'
'-x+1/2,-y+1/2,-z'
'-x+1/2,y+1/2,-z+1/2'
'x+1/2,-y+1/2,z+1/2'
loop_
_atom_site_label
_atom_site_fract_x
_atom_site_fract_y
_atom_site_fract_z
Li1 0.053 0.179 0.479
Se1 0.198 0.481 0.710
O1 0.000 0.388 0.750
O2 0.128 0.356 0.125
O3 0.129 0.000 0.134
O4 0.241 0.342 0.612
# Energy relative to the elements, uncorrected = -11.76 eV/f.u.
# Energy above the most stable polymorph in this dataset = 0.014 eV per atom
# M_tot = 0.000 μB/atom
# Total DFT energy (no corrections) = -229.04 eV/cell

***

6.
# Li2SeO PBE relaxed
data_Li2SeO
_space_group_name_H-M_alt 'F m -3 m'
_space_group_IT_number 225
_space_group_name_Hall '-F 4 2 3'
_cell_length_a 6.031
_cell_length_b 6.031
_cell_length_c 6.031
_cell_angle_alpha 90.00
_cell_angle_beta 90.00
_cell_angle_gamma 90.00
loop_
_atom_site_label
_atom_site_fract_x
_atom_site_fract_y
_atom_site_fract_z
Li1 0.250 0.250 0.250
Se1 0.000 0.000 0.000
O1 0.000 0.000 0.500
# Energy relative to the elements, uncorrected = -2.45 eV/f.u.
# Energy above the most stable polymorph in this dataset = 0.422 eV per atom
# M_tot = 0.500 μB/atom
# Total DFT energy (no corrections) = -58.87 eV/cell

***

7.
# Li2Se2O7 PBE relaxed
data_Li2Se2O7
_space_group_name_H-M_alt 'C 1 2/m 1'
_space_group_IT_number 12
_cell_length_a 7.146
_cell_length_b 8.648
_cell_length_c 4.855
_cell_angle_alpha 90.00
_cell_angle_beta 107.30
_cell_angle_gamma 90.00
loop_
_space_group_symop_operation_xyz
'x,y,z'
'-x,-y,-z'
'-x,y,-z'
'x,-y,z'
'x+1/2,y+1/2,z'
'-x+1/2,-y+1/2,-z'
'-x+1/2,y+1/2,-z'
'x+1/2,-y+1/2,z'
loop_
_atom_site_label
_atom_site_fract_x
_atom_site_fract_y
_atom_site_fract_z
Li1 0.000 0.188 0.000
Se1 0.223 0.500 0.405
O1 0.000 0.500 0.500
O2 0.107 0.000 0.278
O3 0.217 0.341 0.217
# Energy relative to the elements, uncorrected = -11.33 eV/f.u.
# Energy above the most stable polymorph in this dataset = 0.053 eV per atom
# M_tot = 0.000 μB/atom
# Total DFT energy (no corrections) = -113.66 eV/cell

***

8.
# Li2Se2O7 PBE relaxed
data_Li2Se2O7
_space_group_name_H-M_alt 'P n m a'
_space_group_IT_number 62
_cell_length_a 14.123
_cell_length_b 8.597
_cell_length_c 5.196
_cell_angle_alpha 90.00
_cell_angle_beta 90.00
_cell_angle_gamma 90.00
loop_
_space_group_symop_operation_xyz
'x,y,z'
'-x,-y,-z'
'-x+1/2,-y,z+1/2'
'x+1/2,y,-z+1/2'
'x+1/2,-y+1/2,-z+1/2'
'-x+1/2,y+1/2,z+1/2'
'-x,y+1/2,-z'
'x,-y+1/2,z'
loop_
_atom_site_label
_atom_site_fract_x
_atom_site_fract_y
_atom_site_fract_z
Li1 0.101 0.068 0.095
Se1 0.002 0.750 0.389
Se2 0.219 0.750 0.267
O1 0.008 0.089 0.782
O2 0.062 0.250 0.346
O3 0.122 0.750 0.513
O4 0.187 0.250 0.957
O5 0.206 0.589 0.104
# Energy relative to the elements, uncorrected = -11.91 eV/f.u.
# Energy above the most stable polymorph in this dataset = 0.000 eV per atom
# M_tot = 0.000 μB/atom
# Total DFT energy (no corrections) = -229.67 eV/cell